VASP calculation (PBE) on SrMgSnPt after structural relaxation.

CIF file:
```
data_SrMgSnPt
_cell_length_a 7.130
_cell_length_b 7.130
_cell_length_c 7.130
_cell_angle_alpha 90.00
_cell_angle_beta 90.00
_cell_angle_gamma 90.00
_space_group_name_H-M_alt 'F -4 3 m'
_space_group_IT_number 216
_space_group_name_Hall 'F -4 2 3'
loop_
_atom_site_label
_atom_site_type_symbol
_atom_site_fract_x
_atom_site_fract_y
_atom_site_fract_z
Sr1 Sr 0.000 0.000 0.000
Mg1 Mg 0.250 0.250 0.750
Sn1 Sn 0.000 0.000 0.500
Pt1 Pt 0.250 0.250 0.250
```

Computed properties:
- total DFT energy (no corrections) (eV per cell) = -59.69
- distance to the lowest polymorph of the same formula (eV per atom) = 0.0090